1.
! LiRe3, optimized geometry, DFT GGA-PBE; values from VASP
&SYSTEM
  ibrav = 0, nat = 4, ntyp = 2
/
ATOMIC_SPECIES
Re 186.21 Re.upf
Li 6.94 Li.upf
ATOMIC_POSITIONS crystal
Re 0.5000 0.5000 0.5000
Re 0.7533 0.7533 0.7533
Re 0.2467 0.2467 0.2467
Li 0.0000 0.0000 0.0000
CELL_PARAMETERS angstrom
9.3765 0.0044 0.0026
8.9727 2.7219 0.0026
8.9727 1.3332 2.3731
! Crystal system: trigonal
! Relative energy among the computed polymorphs in kJ/mol of formula units: 2
! ΔE_f in eV/atom: 0.192
! VASP energy in eV/atom: -9.623

---

2.
! La4Ce3BeN8, optimized geometry, DFT GGA-PBE; values from VASP
&SYSTEM
  ibrav = 0, nat = 16, ntyp = 4
/
ATOMIC_SPECIES
La 138.91 La.upf
Be 9.01 Be.upf
N 14.01 N.upf
Ce 140.12 Ce.upf
ATOMIC_POSITIONS crystal
La 0.5000 0.0000 0.0000
Be 0.0000 0.5000 0.0000
N 0.2461 0.7296 0.9837
N 0.7539 0.2704 0.0163
N 0.2624 0.2704 0.0163
La 0.0000 0.0000 0.0000
N 0.2503 0.7334 0.5006
N 0.7422 0.7265 0.4845
Ce 0.0000 0.5000 0.5000
N 0.2578 0.2735 0.5155
Ce 0.5000 0.5000 0.5000
La 0.0000 0.0000 0.5000
N 0.7497 0.2666 0.4994
Ce 0.5000 0.5000 0.0000
La 0.5000 0.0000 0.5000
N 0.7376 0.7296 0.9837
CELL_PARAMETERS angstrom
-1.4044 6.3939 2.9037
-6.1411 0.3610 -3.7651
1.2511 -5.6635 4.2449
! Crystal system: monoclinic
! Formation energy from raw total energies in eV per atom: -1.081
! VASP energy in eV/atom: -7.821

---

3.
! SiS2ClO, optimized geometry, DFT GGA-PBE; values from VASP
&SYSTEM
  ibrav = 0, nat = 5, ntyp = 4
/
ATOMIC_SPECIES
S 32.06 S.upf
O 16.00 O.upf
Cl 35.45 Cl.upf
Si 28.09 Si.upf
ATOMIC_POSITIONS crystal
S 0.0000 0.5000 0.0000
O 0.0000 0.0000 0.0000
Cl 0.0000 0.0000 0.5000
Si 0.5000 0.5000 0.5000
S 0.5000 0.0000 0.0000
CELL_PARAMETERS angstrom
4.2308 0.0000 0.0000
0.0000 4.2308 0.0000
0.0000 0.0000 4.5694
! Crystal system: tetragonal
! Relative energy among the computed polymorphs in kJ/mol of formula units: 37
! Formation energy from raw total energies in eV per atom: 0.756
! VASP energy in eV/atom: -3.341

---

4.
! Sm5DyCd6, optimized geometry, DFT GGA-PBE; values from VASP
&SYSTEM
  ibrav = 0, nat = 12, ntyp = 3
/
ATOMIC_SPECIES
Cd 112.41 Cd.upf
Dy 162.50 Dy.upf
Sm 150.36 Sm.upf
ATOMIC_POSITIONS crystal
Cd 0.1647 0.2473 0.6706
Cd 0.5000 0.2464 0.0000
Cd 0.8353 0.7527 0.3294
Dy 0.0000 0.0000 0.0000
Cd 0.5000 0.7536 0.0000
Sm 0.3337 0.0000 0.3325
Sm 0.0000 0.5000 0.0000
Cd 0.1647 0.7527 0.6706
Sm 0.6679 0.5000 0.6642
Cd 0.8353 0.2473 0.3294
Sm 0.6663 0.0000 0.6675
Sm 0.3321 0.5000 0.3358
CELL_PARAMETERS angstrom
5.0799 -0.0303 1.6929
0.0412 7.6624 0.0137
-0.0016 -0.0152 8.4729
! Crystal system: orthorhombic
! ΔE_f in eV/atom: -0.316
! VASP energy in eV/atom: -3.123

---

What is the VASP energy in the fourth record?
-3.123 eV/atom

---

What is the VASP energy in the fourth record?
-3.123 eV/atom